This record from Alexandria via LeMat-Bulk describes a relaxed Te2CF crystal. The functional is PBE.

Lattice parameters (Å, degrees): 8.0443 8.0443 8.0443 27.15 27.15 27.15
Atoms (fractional coordinates):
Te 0.0831 0.0831 0.0831
Te 0.9169 0.9169 0.9169
C 0.0000 0.0000 0.0000
F 0.5000 0.5000 0.5000

- excess energy over the best structure of this formula in the dataset (meV per atom) = 24
- V (A^3/atom) = 23.90


This record from Alexandria via LeMat-Bulk describes a relaxed AlPPt crystal. The functional is PBE.

Lattice parameters (Å, degrees): 4.1062 4.1062 4.1062 60.00 60.00 60.00
Atoms (fractional coordinates):
Al 0.0000 0.0000 0.0000
P 0.2500 0.2500 0.2500
Pt 0.5000 0.5000 0.5000

- energy of formation (meV/atom) = -238
- V (A^3/atom) = 16.32


- Among the records above, which one has the lowest V?
  AlPPt